Compound: Li2FeF4
Source: Alexandria via LeMat-Bulk
Functional: PBE with a Hubbard U
Structure: relaxed

Cell lengths 9.4997, 2.8794, 10.2717 Å; angles 90.00, 90.00, 90.00 degrees
Last column: nearest neighbours and their distance in Å.
Fractional positions:
Li1 0.0546 0.2500 0.1213  6 F 1.95-2.17
Li2 0.0828 0.2500 0.6014  5 F 1.91-2.12
Li3 0.4172 0.7500 0.1014  5 F 1.91-2.12
Li4 0.4454 0.7500 0.6213  6 F 1.95-2.17
Li5 0.5546 0.2500 0.3787  6 F 1.95-2.17
Li6 0.5828 0.2500 0.8986  5 F 1.91-2.12
Li7 0.9172 0.7500 0.3986  5 F 1.91-2.12
Li8 0.9454 0.7500 0.8787  6 F 1.95-2.17
Fe1 0.2452 0.7500 0.8421  7 F 2.07-2.23
Fe2 0.2548 0.2500 0.3421  7 F 2.07-2.23
Fe3 0.7452 0.7500 0.6579  7 F 2.07-2.23
Fe4 0.7548 0.2500 0.1579  7 F 2.07-2.23
F1 0.0695 0.7500 0.7224  3 Li 1.91-1.99, 1 Fe 2.07
F2 0.1040 0.2500 0.9366  3 Li 1.95-2.17
F3 0.1226 0.7500 0.4542  3 Li 2.03-2.12, 2 Fe 2.23
F4 0.1844 0.7500 0.1956  2 Li 2.04, 2 Fe 2.19
F5 0.3156 0.2500 0.6956  2 Li 2.04, 2 Fe 2.19
F6 0.3774 0.2500 0.9542  3 Li 2.03-2.12, 2 Fe 2.23
F7 0.3960 0.7500 0.4366  3 Li 1.95-2.17
F8 0.4305 0.2500 0.2224  3 Li 1.91-1.99, 1 Fe 2.07
F9 0.5695 0.7500 0.7776  3 Li 1.91-1.99, 1 Fe 2.07
F10 0.6040 0.2500 0.5634  3 Li 1.95-2.17
F11 0.6226 0.7500 0.0458  3 Li 2.03-2.12, 2 Fe 2.23
F12 0.6844 0.7500 0.3044  2 Li 2.04, 2 Fe 2.19
F13 0.8156 0.2500 0.8044  2 Li 2.04, 2 Fe 2.19
F14 0.8774 0.2500 0.5458  3 Li 2.03-2.12, 2 Fe 2.23
F15 0.8960 0.7500 0.0634  3 Li 1.95-2.17
F16 0.9305 0.2500 0.2776  3 Li 1.91-1.99, 1 Fe 2.07

V in Å³/cell: 281
Offset from the most stable computed form in kcal/mol of atoms: 1.326
Mass density in g cm⁻³: 3.445
N(E_F) in states/eV/cell: 0.000
SG: No. 62
Total magnetization in μB/atom: 0.57
E_tot in eV/atom: -5.094